(1)
MgSc2TlH | PBE | optimized geometry

Cell and atoms, written as POSCAR:
```
MgSc2TlH
1.0
-2.266 3.703 -0.905
-2.526 -0.670 3.583
2.935 2.411 2.520
Sc H Tl Mg
2 1 1 1
Direct
0.000 0.500 0.000
0.500 0.000 0.000
0.000 0.000 0.000
0.500 0.500 0.500
0.000 0.000 0.500
```

Computed properties:
Spin magnetization = 1.25 μB/cell
Space group = P4/mmm, No. 123
Energy = -4.2707 eV per atom
Energy above the most stable polymorph in this dataset = 0 meV/atom

***

(2)
Mg2ScZnH | PBE | optimized geometry

Cell and atoms, written as POSCAR:
```
Mg2ScZnH
1.0
4.426 0.000 0.000
0.000 4.426 0.000
0.000 0.000 4.133
Sc H Zn Mg
1 1 1 2
Direct
0.000 0.000 0.500
0.000 0.000 0.000
0.500 0.500 0.500
0.000 0.500 0.000
0.500 0.000 0.000
```

Computed properties:
Spin magnetization = 0.00 μB/cell
Space group = P4/mmm, No. 123
Energy = -2.9955 eV per atom

***

(3)
Mg2ZrScH | PBE | optimized geometry

Cell and atoms, written as POSCAR:
```
Mg2ZrScH
1.0
4.886 0.000 0.000
0.000 4.886 0.000
0.000 0.000 3.863
Sc H Mg Zr
1 1 2 1
Direct
0.000 0.000 0.500
0.000 0.000 0.000
0.000 0.500 0.000
0.500 0.000 0.000
0.500 0.500 0.500
```

Computed properties:
Spin magnetization = 0.00 μB/cell
Space group = P4/mmm, No. 123
Energy = -4.2955 eV per atom

***

(4)
MgZr2ScH | PBE | optimized geometry

Cell and atoms, written as POSCAR:
```
MgZr2ScH
1.0
-0.191 -3.658 -2.559
-1.125 -2.440 3.571
-4.415 0.814 -0.834
Sc H Mg Zr
1 1 1 2
Direct
0.500 0.500 0.500
0.000 0.000 0.000
0.000 0.000 0.500
0.000 0.500 0.000
0.500 0.000 0.000
```

Computed properties:
Spin magnetization = 0.00 μB/cell
Space group = P4/mmm, No. 123
Energy = -5.7811 eV per atom
Energy above the most stable polymorph in this dataset = 39 meV/atom

***

(5)
MgZr2ScH | PBE | optimized geometry

Cell and atoms, written as POSCAR:
```
MgZr2ScH
1.0
4.490 0.000 0.000
0.000 4.490 0.000
0.000 0.000 4.549
Sc H Mg Zr
1 1 1 2
Direct
0.000 0.000 0.500
0.000 0.000 0.000
0.500 0.500 0.500
0.000 0.500 0.000
0.500 0.000 0.000
```

Computed properties:
Spin magnetization = 0.00 μB/cell
Space group = P4/mmm, No. 123
Energy = -5.8205 eV per atom
Energy above the most stable polymorph in this dataset = 0 meV/atom

***

(6)
Mg2H6Se | PBE | optimized geometry

Cell and atoms, written as POSCAR:
```
Mg2H6Se
1.0
-0.754 3.324 3.437
3.537 1.107 3.114
2.202 4.302 -0.269
Mg H Se
2 6 1
Direct
0.750 0.750 0.750
0.250 0.250 0.250
0.362 0.638 0.638
0.638 0.638 0.362
0.638 0.362 0.638
0.638 0.362 0.362
0.362 0.362 0.638
0.362 0.638 0.362
0.000 0.000 0.000
```

Computed properties:
Spin magnetization = 0.00 μB/cell
Space group = Fm-3m, No. 225
Energy = -2.4864 eV per atom

***

(7)
Mg3HSe | PBE | optimized geometry

Cell and atoms, written as POSCAR:
```
Mg3HSe
1.0
-4.193 -1.588 -0.165
1.123 -3.264 2.867
-1.135 2.638 3.448
H Mg Se
1 3 1
Direct
0.000 0.000 0.000
0.000 0.500 0.000
0.000 0.000 0.500
0.500 0.000 0.000
0.500 0.500 0.500
```

Computed properties:
Spin magnetization = 0.00 μB/cell
Space group = Pm-3m, No. 221
Energy = -2.4205 eV per atom
Energy above the most stable polymorph in this dataset = 0 meV/atom

***

(8)
MgH2Se | PBE | optimized geometry

Cell and atoms, written as POSCAR:
```
MgH2Se
1.0
4.578 0.000 0.000
0.000 4.578 0.000
2.289 2.289 5.028
H Mg Se
4 2 2
Direct
0.551 0.125 0.250
0.199 0.625 0.250
0.375 0.449 0.750
0.875 0.801 0.750
0.500 0.500 0.000
0.250 0.750 0.500
0.000 0.000 0.000
0.750 0.250 0.500
```

Computed properties:
Spin magnetization = 0.00 μB/cell
Space group = I-42d, No. 122
Energy = -2.6398 eV per atom
Energy above the most stable polymorph in this dataset = 798 meV/atom